Entry 1:
# GGA-PBE Pa2CrRe, relaxed
# Calculated formation energy ... 52.5 kJ per mole of atoms
# Total magnetic moment ... 2.14 μB per formula unit
# Calculated volume ... 236 Å³ per cell
data_Pa2CrRe
_space_group_name_H-M_alt 'R -3 m'
_space_group_IT_number 166
_space_group_name_Hall '-R 3 2"'
_cell_length_a 3.0391
_cell_length_b 3.0391
_cell_length_c 29.5631
_cell_angle_alpha 90.00
_cell_angle_beta 90.00
_cell_angle_gamma 120.00
loop_
_atom_site_label
_atom_site_fract_x
_atom_site_fract_y
_atom_site_fract_z
Pa1 0.0000 0.0000 0.0867
Cr1 0.0000 0.0000 0.0000
Re1 0.0000 0.0000 0.5000

Entry 2:
# GGA-PBE Ni2N2Cl3, relaxed
# Total magnetic moment ... 3.00 μB per formula unit
# Raw formation energy ... -169 kJ/mol of formula units
# Calculated volume ... 166 Å³ per cell
data_Ni2N2Cl3
_space_group_name_H-M_alt 'P -1'
_space_group_IT_number 2
_cell_length_a 3.717
_cell_length_b 6.519
_cell_length_c 7.285
_cell_angle_alpha 94.54
_cell_angle_beta 98.82
_cell_angle_gamma 105.91
loop_
_space_group_symop_operation_xyz
'x,y,z'
'-x,-y,-z'
loop_
_atom_site_label
_atom_site_fract_x
_atom_site_fract_y
_atom_site_fract_z
Ni1 0.194 0.354 0.053
N1 0.464 0.077 0.509
Cl1 0.000 0.000 0.000
Cl2 0.198 0.521 0.786

Entry 3:
# GGA-PBE Sr3CuAs2O8, relaxed
# Total magnetic moment ... 0.00 μB per formula unit
# Raw formation energy ... -2490 kJ/mol of formula units
# Calculated volume ... 207 Å³ per cell
data_Sr3CuAs2O8
_space_group_name_H-M_alt 'P -3 m 1'
_space_group_IT_number 164
_space_group_name_Hall '-P 3 2"'
_cell_length_a 5.7197
_cell_length_b 5.7197
_cell_length_c 7.2967
_cell_angle_alpha 90.00
_cell_angle_beta 90.00
_cell_angle_gamma 120.00
loop_
_atom_site_label
_atom_site_fract_x
_atom_site_fract_y
_atom_site_fract_z
Sr1 0.0000 0.0000 0.0000
Sr2 0.3333 0.6667 0.6387
Cu1 0.0000 0.0000 0.5000
As1 0.3333 0.6667 0.1993
O1 0.1692 0.3384 0.3046
O2 0.3333 0.6667 0.9587

Entry 4:
# GGA-PBE DyTm8Sb2, relaxed
# Total magnetic moment ... 0.00 μB per formula unit
# Raw formation energy ... -62 kJ/mol of formula units
# Calculated volume ... 721 Å³ per cell
data_DyTm8Sb2
_space_group_name_H-M_alt 'C 1 2/m 1'
_space_group_IT_number 12
_cell_length_a 14.743
_cell_length_b 8.653
_cell_length_c 6.039
_cell_angle_alpha 90.00
_cell_angle_beta 110.65
_cell_angle_gamma 90.00
loop_
_space_group_symop_operation_xyz
'x,y,z'
'-x,-y,-z'
'-x,y,-z'
'x,-y,z'
'x+1/2,y+1/2,z'
'-x+1/2,-y+1/2,-z'
'-x+1/2,y+1/2,-z'
'x+1/2,-y+1/2,z'
loop_
_atom_site_label
_atom_site_fract_x
_atom_site_fract_y
_atom_site_fract_z
Dy1 0.000 0.000 0.000
Tm1 0.090 0.500 0.764
Tm2 0.118 0.312 0.275
Tm3 0.179 0.000 0.809
Sb1 0.219 0.000 0.348

Entry 5:
# GGA-PBE InTc2Se, relaxed
# Total magnetic moment ... 0.00 μB per formula unit
# Raw formation energy ... 66 kJ/mol of formula units
# Calculated volume ... 232 Å³ per cell
data_InTc2Se
_space_group_name_H-M_alt 'R 3 m'
_space_group_IT_number 160
_space_group_name_Hall 'R 3 -2"'
_cell_length_a 2.9702
_cell_length_b 2.9702
_cell_length_c 30.3923
_cell_angle_alpha 90.00
_cell_angle_beta 90.00
_cell_angle_gamma 120.00
loop_
_atom_site_label
_atom_site_fract_x
_atom_site_fract_y
_atom_site_fract_z
In1 0.0000 0.0000 0.0000
Tc1 0.0000 0.0000 0.4808
Tc2 0.0000 0.0000 0.7446
Se1 0.0000 0.0000 0.2074

Entry 6:
# GGA-PBE InOsBr2, relaxed
# Total magnetic moment ... 1.16 μB per formula unit
# Raw formation energy ... 369 kJ/mol of formula units
# Calculated volume ... 174 Å³ per cell
data_InOsBr2
_space_group_name_H-M_alt 'C 1 2/m 1'
_space_group_IT_number 12
_cell_length_a 6.220
_cell_length_b 9.616
_cell_length_c 3.407
_cell_angle_alpha 90.00
_cell_angle_beta 121.47
_cell_angle_gamma 90.00
loop_
_space_group_symop_operation_xyz
'x,y,z'
'-x,-y,-z'
'-x,y,-z'
'x,-y,z'
'x+1/2,y+1/2,z'
'-x+1/2,-y+1/2,-z'
'-x+1/2,y+1/2,-z'
'x+1/2,-y+1/2,z'
loop_
_atom_site_label
_atom_site_fract_x
_atom_site_fract_y
_atom_site_fract_z
In1 0.000 0.000 0.000
Os1 0.000 0.500 0.000
Br1 0.250 0.250 0.000

Entry 7:
# GGA-PBE TePBr2N, relaxed
# Total magnetic moment ... 0.00 μB per formula unit
# Raw formation energy ... 262 kJ/mol of formula units
# Calculated volume ... 110 Å³ per cell
data_TePBr2N
_space_group_name_H-M_alt 'P 4/m m m'
_space_group_IT_number 123
_space_group_name_Hall '-P 4 2'
_cell_length_a 5.754
_cell_length_b 5.754
_cell_length_c 3.321
_cell_angle_alpha 90.00
_cell_angle_beta 90.00
_cell_angle_gamma 90.00
loop_
_atom_site_label
_atom_site_fract_x
_atom_site_fract_y
_atom_site_fract_z
Te1 0.000 0.000 0.000
P1 0.500 0.500 0.500
Br1 0.000 0.500 0.500
N1 0.500 0.500 0.000

Entry 8:
# GGA-PBE TbSn2Bi, relaxed
# Calculated formation energy ... -15.9 kJ per mole of atoms
# Total magnetic moment ... 0.00 μB per formula unit
# Calculated volume ... 348 Å³ per cell
data_TbSn2Bi
_space_group_name_H-M_alt 'R -3 m'
_space_group_IT_number 166
_space_group_name_Hall '-R 3 2"'
_cell_length_a 5.3125
_cell_length_b 5.3125
_cell_length_c 14.2504
_cell_angle_alpha 90.00
_cell_angle_beta 90.00
_cell_angle_gamma 120.00
loop_
_atom_site_label
_atom_site_fract_x
_atom_site_fract_y
_atom_site_fract_z
Tb1 0.0000 0.0000 0.0000
Sn1 0.0000 0.0000 0.2485
Bi1 0.0000 0.0000 0.5000

Entry 9:
# GGA-PBE LiTmPaTc, relaxed
# Calculated formation energy ... 1.5 kJ per mole of atoms
# Total magnetic moment ... 0.00 μB per formula unit
# Calculated volume ... 329 Å³ per cell
data_LiTmPaTc
_space_group_name_H-M_alt 'F -4 3 m'
_space_group_IT_number 216
_space_group_name_Hall 'F -4 2 3'
_cell_length_a 6.901
_cell_length_b 6.901
_cell_length_c 6.901
_cell_angle_alpha 90.00
_cell_angle_beta 90.00
_cell_angle_gamma 90.00
loop_
_atom_site_label
_atom_site_fract_x
_atom_site_fract_y
_atom_site_fract_z
Li1 0.000 0.000 0.000
Tm1 0.250 0.250 0.250
Pa1 0.250 0.250 0.750
Tc1 0.000 0.000 0.500

Entry 10:
# GGA-PBE Ce5In2Sn, relaxed
# Calculated formation energy ... -28.9 kJ per mole of atoms
# Total magnetic moment ... 5.45 μB per formula unit
# Calculated volume ... 447 Å³ per cell
data_Ce5In2Sn
_space_group_name_H-M_alt 'I 4/m m m'
_space_group_IT_number 139
_space_group_name_Hall '-I 4 2'
_cell_length_a 8.061
_cell_length_b 8.061
_cell_length_c 6.883
_cell_angle_alpha 90.00
_cell_angle_beta 90.00
_cell_angle_gamma 90.00
loop_
_atom_site_label
_atom_site_fract_x
_atom_site_fract_y
_atom_site_fract_z
Ce1 0.000 0.000 0.000
Ce2 0.250 0.250 0.250
In1 0.000 0.500 0.000
Sn1 0.000 0.000 0.500

Entry 11:
# GGA-PBE MnCoOs2, relaxed
# Calculated formation energy ... 20.0 kJ per mole of atoms
# Total magnetic moment ... 3.56 μB per formula unit
# Calculated volume ... 158 Å³ per cell
data_MnCoOs2
_space_group_name_H-M_alt 'R 3 m'
_space_group_IT_number 160
_space_group_name_Hall 'R 3 -2"'
_cell_length_a 2.6914
_cell_length_b 2.6914
_cell_length_c 25.2529
_cell_angle_alpha 90.00
_cell_angle_beta 90.00
_cell_angle_gamma 120.00
loop_
_atom_site_label
_atom_site_fract_x
_atom_site_fract_y
_atom_site_fract_z
Mn1 0.0000 0.0000 0.0000
Co1 0.0000 0.0000 0.2557
Os1 0.0000 0.0000 0.5056
Os2 0.0000 0.0000 0.7507

Entry 12:
# GGA-PBE Cs3YI6, relaxed
# Total magnetic moment ... 0.00 μB per formula unit
# Raw formation energy ... -1464 kJ/mol of formula units
# Calculated volume ... 1112 Å³ per cell
data_Cs3YI6
_space_group_name_H-M_alt 'P 1 21/c 1'
_space_group_IT_number 14
_cell_length_a 9.014
_cell_length_b 9.618
_cell_length_c 15.481
_cell_angle_alpha 90.00
_cell_angle_beta 124.05
_cell_angle_gamma 90.00
loop_
_space_group_symop_operation_xyz
'x,y,z'
'-x,-y,-z'
'-x,y+1/2,-z+1/2'
'x,-y+1/2,z+1/2'
loop_
_atom_site_label
_atom_site_fract_x
_atom_site_fract_y
_atom_site_fract_z
Cs1 0.000 0.000 0.000
Cs2 0.212 0.077 0.744
Y1 0.500 0.000 0.500
I1 0.177 0.172 0.450
I2 0.270 0.736 0.429
I3 0.402 0.048 0.279